[1]
The following is a PBE calculation of crystalline P3HSe at its relaxed geometry, from Alexandria via LeMat-Bulk.

Geometry as POSCAR:
```
P3HSe
1.0
4.8427 0.0000 0.0000
0.0000 4.8427 0.0000
0.0000 0.0000 4.8427
P H Se
3 1 1
Direct
0.0000 0.5000 0.0000
0.0000 0.0000 0.5000
0.5000 0.0000 0.0000
0.5000 0.5000 0.5000
0.0000 0.0000 0.0000
```

**Total magnetic moment**: 0.42 μB per cell
**Final energy**: -2.9197 eV/atom
**E above lowest polymorph**: 0.709 eV per atom

---

[2]
The following is a PBE calculation of crystalline La3Pr3In2Ge at its relaxed geometry, from Alexandria via LeMat-Bulk.

Geometry as POSCAR:
```
La3Pr3In2Ge
1.0
4.2057 0.0000 0.0000
0.0000 8.8740 0.0000
0.0000 -4.4370 7.6851
La Pr In Ge
3 3 2 1
Direct
0.5000 0.7403 0.0000
0.5000 0.2597 0.2597
0.5000 0.0000 0.7403
0.0000 0.3952 0.0000
0.0000 0.6048 0.6048
0.0000 0.0000 0.3952
0.5000 0.6667 0.3333
0.5000 0.3333 0.6667
0.0000 0.0000 0.0000
```

**Total magnetic moment**: 0.00 μB per cell
**Final energy**: -4.7802 eV/atom
**Formation energy**: -3.8 eV per formula unit